8
Lattice="-5.345 -4.025 3.282 -3.173 -2.393 -6.925 6.773 -0.127 1.823" Properties=species:S:1:pos:R:3 comment="VAg2Cl5 PBE relaxed" relative_energy_ev_per_atom=0.014 formation_energy_uncorrected_mev_per_atom=-763 pbc="T T T"
Ag -1.864 -3.086 1.642
Ag -1.483 -1.333 -3.463
Cl -2.996 -4.886 -1.821
Cl -3.917 -4.427 1.464
Cl -3.181 -3.876 -5.106
Cl -1.624 -1.474 -1.074
Cl -6.654 -5.264 -2.569
V 0.070 -0.093 0.000